# Li3CoSiBO7 | Alexandria via LeMat-Bulk | GGA+U | relaxed
# - theoretical density (Mg/m³) = 2.99
# - volume (A^3/atom) = 9.848
# - raw total energy (eV/f.u.) = -83.59
data_Li3CoSiBO7
_chemical_formula_sum 'Li6 Co2 Si2 B2 O14'
_space_group_name_H-M_alt 'P 1 21/m 1'
_space_group_IT_number 11
_cell_length_a 5.021
_cell_length_b 6.139
_cell_length_c 8.347
_cell_angle_alpha 90.00
_cell_angle_beta 95.55
_cell_angle_gamma 90.00
loop_
_space_group_symop_operation_xyz
'x,y,z'
'-x,-y,-z'
'-x,y+1/2,-z'
'x,-y+1/2,z'
loop_
_atom_site_label
_atom_site_type_symbol
_atom_site_fract_x
_atom_site_fract_y
_atom_site_fract_z
Li1 Li 0.236 0.250 0.103
Li2 Li 0.255 0.503 0.745
Co1 Co 0.200 0.750 0.316
Si1 Si 0.278 0.250 0.430
B1 B 0.290 0.750 0.042
O1 O 0.033 0.750 0.092
O2 O 0.134 0.250 0.596
O3 O 0.182 0.053 0.302
O4 O 0.362 0.750 0.892
O5 O 0.395 0.750 0.528
O6 O 0.476 0.750 0.180